Record 1
CoTc3: optimized geometry, GGA-PBEsol.

Computed properties:
excess energy over the best structure of this formula in the dataset	0.000	kcal/mol of atoms
energy relative to the elements	-0.035	eV/atom
M_tot	0.00	μB per formula unit

Cell lengths 5.2956, 5.2956, 8.5024 Å; angles 90.00, 90.00, 120.00 degrees
Space group P6_3/mmc (No. 194)
One atom of each set of equivalent atoms:
Co (0.0000, 0.0000, 0.0000)
Co (0.3333, 0.6667, 0.2500)
Tc (0.0000, 0.5000, 0.0000)
Tc (0.1650, 0.3300, 0.7500)



Record 2
Co3Tc: optimized geometry, GGA-PBEsol.

Computed properties:
energy relative to the elements	-0.023	eV/atom
M_tot	1.39	μB per formula unit

Cell lengths 4.0011, 4.9848, 4.3463 Å; angles 90.00, 90.00, 90.00 degrees
Space group Pmmn (No. 59, origin choice 2)
One atom of each set of equivalent atoms:
Co (0.2500, 0.0018, 0.1640)
Co (0.2500, 0.7500, 0.6725)
Tc (0.2500, 0.2500, 0.6630)



Record 3
CoTc3: optimized geometry, GGA-PBEsol.

Computed properties:
excess energy over the best structure of this formula in the dataset	0.736	kcal/mol of atoms
energy relative to the elements	-0.003	eV/atom
M_tot	0.00	μB per formula unit

Cell lengths 2.6626, 4.2191, 4.6222 Å; angles 90.00, 90.00, 90.00 degrees
Space group Pmm2 (No. 25)
One atom of each set of equivalent atoms:
Co (0.0000, 0.0000, 0.0000)
Tc (0.0000, 0.5000, 0.3323)
Tc (0.5000, 0.0000, 0.5113)
Tc (0.5000, 0.5000, 0.8459)



Record 4
Co24Tc5: optimized geometry, GGA-PBEsol.

Computed properties:
energy relative to the elements	0.059	eV/atom
M_tot	34.03	μB per formula unit

Cell lengths 8.5877, 8.5877, 8.5877 Å; angles 90.00, 90.00, 90.00 degrees
Space group I-43m (No. 217)
One atom of each set of equivalent atoms:
Co (0.0398, 0.3593, 0.3593)
Co (0.0922, 0.0922, 0.2840)
Tc (0.0000, 0.0000, 0.0000)
Tc (0.1788, 0.1788, 0.8212)



Record 5
CoTcTe2: optimized geometry, GGA-PBEsol.

Computed properties:
excess energy over the best structure of this formula in the dataset	3.373	kcal/mol of atoms
formation energy without anion corrections	0.49	eV/atom
M_tot	1.42	μB per formula unit

Cell lengths 3.2892, 3.2892, 25.6008 Å; angles 90.00, 90.00, 120.00 degrees
Space group R-3m (No. 166, hexagonal axes)
One atom of each set of equivalent atoms:
Co (0.0000, 0.0000, 0.0000)
Tc (0.0000, 0.0000, 0.5000)
Te (0.0000, 0.0000, 0.0930)



Record 6
CoTcTe2: optimized geometry, GGA-PBEsol.

Computed properties:
excess energy over the best structure of this formula in the dataset	0.000	kcal/mol of atoms
formation energy without anion corrections	0.35	eV/atom
M_tot	0.92	μB per formula unit

Cell lengths 3.2443, 3.2443, 6.4438 Å; angles 90.00, 90.00, 90.00 degrees
Space group P4/mmm (No. 123)
One atom of each set of equivalent atoms:
Co (0.0000, 0.0000, 0.0000)
Tc (0.0000, 0.0000, 0.5000)
Te (0.5000, 0.5000, 0.2450)



Record 7
TiTlCo2Tc: optimized geometry, GGA-PBEsol.

Computed properties:
energy relative to the elements	1.030	eV/atom
M_tot	1.85	μB per formula unit

Cell lengths 4.4450, 4.4450, 4.5590 Å; angles 90.00, 90.00, 90.00 degrees
Space group P4/mmm (No. 123)
One atom of each set of equivalent atoms:
Ti (0.0000, 0.0000, 0.0000)
Tl (0.5000, 0.5000, 0.0000)
Co (0.0000, 0.5000, 0.5000)
Tc (0.0000, 0.0000, 0.5000)



Record 8
Tl2CoTc: optimized geometry, GGA-PBEsol.

Computed properties:
excess energy over the best structure of this formula in the dataset	0.000	kcal/mol of atoms
energy relative to the elements	0.472	eV/atom
M_tot	0.01	μB per formula unit

Cell lengths 2.9336, 2.9336, 8.4609 Å; angles 90.00, 90.00, 90.00 degrees
Space group P4mm (No. 99)
One atom of each set of equivalent atoms:
Tl (0.0000, 0.0000, 0.0000)
Tl (0.5000, 0.5000, 0.3466)
Co (0.0000, 0.0000, 0.5866)
Tc (0.5000, 0.5000, 0.7405)



Number 1: uncorrected energy -0.383 hartree per atom, Fermi-level density of states 1.131 states/eV per atom. Number 2: uncorrected energy -0.318 hartree per atom, Fermi-level density of states 1.105 states/eV per atom. Number 3: uncorrected energy -0.382 hartree per atom, Fermi-level density of states 1.119 states/eV per atom. Number 4: uncorrected energy -0.305 hartree per atom, Fermi-level density of states 1.248 states/eV per atom. Number 5: uncorrected energy -0.221 hartree per atom, Fermi-level density of states 0.886 states/eV per atom. Number 6: uncorrected energy -0.227 hartree per atom, Fermi-level density of states 1.149 states/eV per atom. Number 7: uncorrected energy -0.239 hartree per atom, Fermi-level density of states 1.361 states/eV per atom. Number 8: uncorrected energy -0.206 hartree per atom, Fermi-level density of states 1.090 states/eV per atom.